# Ho4CI3Cl2 PBE-GGA optimized geometry
data_Ho4CI3Cl2
_space_group_name_H-M_alt 'C 1 2/m 1'
_space_group_IT_number 12
_space_group_name_Hall '-C 2y'
_cell_length_a 18.2086
_cell_length_b 3.8690
_cell_length_c 8.4170
_cell_angle_alpha 90.00
_cell_angle_beta 100.87
_cell_angle_gamma 90.00
loop_
_atom_site_label
_atom_site_fract_x
_atom_site_fract_y
_atom_site_fract_z
_atom_site_occupancy
Ho1 0.0014 0.0000 0.3096 1
Ho2 0.1334 0.5000 0.5671 1
C1 0.0000 0.5000 0.5000 1
I1 0.0000 0.5000 0.0000 1
I2 0.1737 0.0000 0.3133 1
Cl1 0.1502 0.0000 0.7992 1
# **Total magnetic moment**: 0.3 μB per formula unit
# **Electronic total energy**: -98.27 eV/cell